Record 1
Here is Nd3MgPb2 after structural relaxation from Alexandria. Energies are from PBE.

Output
ΔE_f   -370 meV/atom
Calculated volume   31.19 Å³ per atom
Symmetry   Ibam (72)
M_tot   3.12 μB per cell

a = 6.643 Å, b = 6.525 Å, c = 9.811 Å
α = 109.42°, β = 109.79°, γ = 90.00°
Site moments in Bohr magnetons follow the coordinates.
Sites, in units of the cell vectors:
Nd 0.069 0.825 0.650  0.18
Pb 0.112 0.364 0.728  0.01
Pb 0.383 0.136 0.272  0.01
Pb 0.888 0.636 0.272  0.01
Mg 0.000 0.750 0.000  0.01
Nd 0.500 0.250 0.000  0.23
Nd 0.582 0.325 0.650  0.18
Nd 0.418 0.675 0.350  0.18
Nd 0.931 0.175 0.350  0.18
Mg 0.000 0.250 0.000  0.01
Nd 0.500 0.750 0.000  0.23
Pb 0.617 0.864 0.728  0.01

Record 2
Here is NdMg4Pb7 after structural relaxation from Alexandria. Energies are from PBE.

Output
ΔE_f   0 meV/atom
Calculated volume   30.11 Å³ per atom
Symmetry   C2/m (12)
M_tot   0.00 μB per cell

a = 6.009 Å, b = 9.384 Å, c = 7.436 Å
α = 77.31°, β = 66.17°, γ = 71.33°
Sites, in units of the cell vectors:
Mg 0.557 0.234 0.651
Pb 0.664 0.412 0.261
Pb 0.922 0.368 0.787
Mg 0.706 0.679 0.908
Mg 0.294 0.321 0.092
Pb 0.336 0.588 0.739
Mg 0.443 0.766 0.349
Pb 0.789 0.893 0.529
Pb 0.500 0.000 0.000
Nd 0.000 0.000 0.000
Pb 0.078 0.632 0.213
Pb 0.211 0.107 0.471

Record 3
Here is Nd5Mg4Pb after structural relaxation from Alexandria. Energies are from PBE.

Output
ΔE_f   -189 meV/atom
Calculated volume   29.68 Å³ per atom
Symmetry   P4/mmm (123)
M_tot   0.00 μB per cell

a = 3.903 Å, b = 3.903 Å, c = 19.482 Å
α = 90.00°, β = 90.00°, γ = 90.00°
Sites, in units of the cell vectors:
Pb 0.000 0.000 0.000
Mg 0.000 0.000 0.400
Nd 0.500 0.500 0.500
Nd 0.500 0.500 0.300
Mg 0.000 0.000 0.796
Mg 0.000 0.000 0.204
Nd 0.500 0.500 0.897
Mg 0.000 0.000 0.600
Nd 0.500 0.500 0.103
Nd 0.500 0.500 0.700

Record 4
Here is Nd3MgPb5 after structural relaxation from Alexandria. Energies are from PBE.

Output
ΔE_f   -389 meV/atom
Calculated volume   29.36 Å³ per atom
Symmetry   P6_3/mcm (193)
M_tot   0.00 μB per cell

a = 6.547 Å, b = 9.654 Å, c = 9.654 Å
α = 120.00°, β = 90.00°, γ = 90.00°
Sites, in units of the cell vectors:
Mg 0.500 0.000 0.000
Pb 0.750 0.281 0.281
Nd 0.250 0.377 0.377
Pb 0.250 0.281 0.000
Nd 0.750 0.000 0.377
Pb 0.250 0.719 0.719
Pb 0.500 0.667 0.333
Pb 0.500 0.333 0.667
Nd 0.250 0.623 0.000
Pb 0.250 0.000 0.281
Pb 0.000 0.667 0.333
Pb 0.000 0.333 0.667
Nd 0.750 0.377 0.000
Nd 0.250 0.000 0.623
Nd 0.750 0.623 0.623
Pb 0.750 0.719 0.000
Mg 0.000 0.000 0.000
Pb 0.750 0.000 0.719

Record 5
Here is NdMgPdPb after structural relaxation from Alexandria. Energies are from PBE.

Output
ΔE_f   -483 meV/atom
Calculated volume   23.80 Å³ per atom
Symmetry   F-43m (216)
M_tot   0.00 μB per cell

a = 5.126 Å, b = 5.126 Å, c = 5.126 Å
α = 60.00°, β = 60.00°, γ = 60.00°
Sites, in units of the cell vectors:
Nd 0.250 0.250 0.250
Pb 0.500 0.500 0.500
Mg 0.750 0.750 0.750
Pd 0.000 0.000 0.000

Record 6
Here is PrNdMgPb after structural relaxation from Alexandria. Energies are from PBE.

Output
ΔE_f   -339 meV/atom
Calculated volume   29.80 Å³ per atom
Symmetry   F-43m (216)
M_tot   0.00 μB per cell

a = 5.524 Å, b = 5.524 Å, c = 5.524 Å
α = 60.00°, β = 60.00°, γ = 60.00°
Sites, in units of the cell vectors:
Mg 0.000 0.000 0.000
Pr 0.250 0.250 0.250
Nd 0.750 0.750 0.750
Pb 0.500 0.500 0.500

Record 7
Here is NdPuMgPb after structural relaxation from Alexandria. Energies are from PBE.

Output
ΔE_f   -128 meV/atom
Calculated volume   28.99 Å³ per atom
Symmetry   F-43m (216)
M_tot   6.82 μB per cell

a = 5.474 Å, b = 5.474 Å, c = 5.474 Å
α = 60.00°, β = 60.00°, γ = 60.00°
Site moments in Bohr magnetons follow the coordinates.
Sites, in units of the cell vectors:
Mg 0.000 0.000 0.000  0.02
Pb 0.500 0.500 0.500  -0.04
Pu 0.750 0.750 0.750  5.64
Nd 0.250 0.250 0.250  0.27

Record 8
Here is NdSmMgPb after structural relaxation from Alexandria. Energies are from PBE.

Output
ΔE_f   -327 meV/atom
Calculated volume   29.03 Å³ per atom
Symmetry   F-43m (216)
M_tot   0.00 μB per cell

a = 5.476 Å, b = 5.476 Å, c = 5.476 Å
α = 60.00°, β = 60.00°, γ = 60.00°
Sites, in units of the cell vectors:
Mg 0.000 0.000 0.000
Sm 0.250 0.250 0.250
Pb 0.500 0.500 0.500
Nd 0.750 0.750 0.750

Record 9
Here is NdMg2SnPb after structural relaxation from Alexandria. Energies are from PBE.

Output
ΔE_f   -236 meV/atom
Calculated volume   28.98 Å³ per atom
Symmetry   Cmcm (63)
M_tot   0.00 μB per cell

a = 4.455 Å, b = 8.447 Å, c = 7.984 Å
α = 90.00°, β = 90.00°, γ = 105.29°
Sites, in units of the cell vectors:
Nd 0.406 0.812 0.750
Sn 0.741 0.482 0.750
Mg 0.175 0.351 0.938
Pb 0.000 0.000 0.000
Pb 0.000 0.000 0.500
Nd 0.594 0.188 0.250
Mg 0.825 0.649 0.062
Mg 0.825 0.649 0.438
Mg 0.175 0.351 0.562
Sn 0.259 0.518 0.250

Record 10
Here is Nd2Mg5Sn3Pb2 after structural relaxation from Alexandria. Energies are from PBE.

Output
ΔE_f   -171 meV/atom
Calculated volume   29.74 Å³ per atom
Symmetry   I4/mmm (139)
M_tot   0.00 μB per cell

a = 4.485 Å, b = 4.485 Å, c = 18.026 Å
α = 97.15°, β = 97.15°, γ = 90.00°
Sites, in units of the cell vectors:
Sn 0.000 0.000 0.000
Mg 0.862 0.362 0.725
Nd 0.713 0.713 0.426
Nd 0.287 0.287 0.574
Mg 0.500 0.500 0.000
Sn 0.195 0.195 0.391
Pb 0.581 0.581 0.162
Pb 0.419 0.419 0.838
Sn 0.805 0.805 0.609
Mg 0.138 0.638 0.275
Mg 0.638 0.138 0.275
Mg 0.362 0.862 0.725

Record 11
Here is NdThMgPb after structural relaxation from Alexandria. Energies are from PBE.

Output
ΔE_f   -145 meV/atom
Calculated volume   29.85 Å³ per atom
Symmetry   F-43m (216)
M_tot   0.00 μB per cell

a = 5.527 Å, b = 5.527 Å, c = 5.527 Å
α = 60.00°, β = 60.00°, γ = 60.00°
Sites, in units of the cell vectors:
Pb 0.500 0.500 0.500
Nd 0.250 0.250 0.250
Mg 0.000 0.000 0.000
Th 0.750 0.750 0.750

Record 12
Here is NdTmMgPb after structural relaxation from Alexandria. Energies are from PBE.

Output
ΔE_f   -273 meV/atom
Calculated volume   27.98 Å³ per atom
Symmetry   F-43m (216)
M_tot   0.00 μB per cell

a = 5.409 Å, b = 5.409 Å, c = 5.409 Å
α = 60.00°, β = 60.00°, γ = 60.00°
Sites, in units of the cell vectors:
Mg 0.500 0.500 0.500
Tm 0.250 0.250 0.250
Nd 0.750 0.750 0.750
Pb 0.000 0.000 0.000